Entry 1:
Material: AsRhO3
Method: DFT, GGA-PBE
State: relaxed

It has space group Pm-3m (No. 221), with a = 3.7839 Å, b = 3.7839 Å, c = 3.7839 Å, α = 90.00°, β = 90.00° and γ = 90.00°. The asymmetric unit holds As at (0.0000, 0.0000, 0.0000), Rh at (0.5000, 0.5000, 0.5000) and O at (0.0000, 0.0000, 0.5000).

The value obtained for the density of states at the Fermi level is 0.822 states/eV per atom.

---

Entry 2:
Material: As3RhO
Method: DFT, GGA-PBE
State: relaxed

It has space group Pm-3m (No. 221), with a = 4.3026 Å, b = 4.3026 Å, c = 4.3026 Å, α = 90.00°, β = 90.00° and γ = 90.00°. The asymmetric unit holds As at (0.0000, 0.0000, 0.5000), Rh at (0.5000, 0.5000, 0.5000) and O at (0.0000, 0.0000, 0.0000).

The value obtained for the density of states at the Fermi level is 0.239 states/eV per atom. The polymorph energy (0 for the lowest one) is 0 meV per atom.

---

Entry 3:
Material: AsRh2O
Method: DFT, GGA-PBE
State: relaxed

It has space group Fm-3m (No. 225), with a = 5.8788 Å, b = 5.8788 Å, c = 5.8788 Å, α = 90.00°, β = 90.00° and γ = 90.00°. The asymmetric unit holds As at (0.0000, 0.0000, 0.0000), Rh at (0.2500, 0.2500, 0.2500) and O at (0.0000, 0.0000, 0.5000).

The value obtained for the density of states at the Fermi level is 0.798 states/eV per atom. The polymorph energy (0 for the lowest one) is 113 meV per atom.

---

Entry 4:
Material: AsRhO4
Method: DFT, GGA-PBE
State: relaxed

It has space group Immm (No. 71), with a = 2.7988 Å, b = 6.6247 Å, c = 8.7108 Å, α = 90.00°, β = 90.00° and γ = 90.00°. The asymmetric unit holds As at (0.0000, 0.0000, 0.0000), Rh at (0.0000, 0.0000, 0.5000), O at (0.0000, 0.2930, 0.0000) and O at (0.0000, 0.5000, 0.3592).

The value obtained for the density of states at the Fermi level is 0.600 states/eV per atom.

---

Entry 5:
Material: AsRhO4
Method: DFT, GGA-PBE
State: relaxed

It has space group P2_1/m (No. 11), with a = 4.0986 Å, b = 6.5897 Å, c = 6.1432 Å, α = 90.00°, β = 106.07° and γ = 90.00°. The asymmetric unit holds As at (0.2448, 0.2500, 0.1084), Rh at (0.3684, 0.7500, 0.2773), O at (0.1690, 0.2500, 0.7982), O at (0.2158, 0.7500, 0.9503) and O at (0.3812, 0.0550, 0.2976).

The value obtained for the density of states at the Fermi level is 0.403 states/eV per atom.

---

Entry 6:
Material: AsRhO3
Method: DFT, GGA-PBE
State: relaxed

It has space group P2_1/m (No. 11), with a = 5.3772 Å, b = 3.3896 Å, c = 7.5665 Å, α = 90.00°, β = 97.40° and γ = 90.00°. The asymmetric unit holds As at (0.2090, 0.2500, 0.3140), Rh at (0.3177, 0.2500, 0.8313), O at (0.0814, 0.7500, 0.8316), O at (0.2350, 0.7500, 0.4121) and O at (0.4351, 0.2500, 0.1506).

The value obtained for the density of states at the Fermi level is 0.177 states/eV per atom.

---

Entry 7:
Material: As2RhO
Method: DFT, GGA-PBE
State: relaxed

It has space group I-42d (No. 122), with a = 5.1883 Å, b = 5.1883 Å, c = 10.7864 Å, α = 90.00°, β = 90.00° and γ = 90.00°. The asymmetric unit holds As at (0.2168, 0.2500, 0.1250), Rh at (0.0000, 0.0000, 0.5000) and O at (0.0000, 0.0000, 0.0000).

The value obtained for the density of states at the Fermi level is 0.389 states/eV per atom.

---

Entry 8:
Material: AsRh2O
Method: DFT, GGA-PBE
State: relaxed

It has space group I-42d (No. 122), with a = 4.6367 Å, b = 4.6367 Å, c = 11.9746 Å, α = 90.00°, β = 90.00° and γ = 90.00°. The asymmetric unit holds As at (0.0000, 0.0000, 0.0000), Rh at (0.1685, 0.2500, 0.6250) and O at (0.0000, 0.0000, 0.5000).

The value obtained for the density of states at the Fermi level is 0.550 states/eV per atom. The polymorph energy (0 for the lowest one) is 0 meV per atom.

---

Entry 9:
Material: AsRhO4
Method: DFT, GGA-PBE
State: relaxed

It has space group I4_1md (No. 109), with a = 6.4564 Å, b = 6.4564 Å, c = 6.0502 Å, α = 90.00°, β = 90.00° and γ = 90.00°. The asymmetric unit holds As at (0.0000, 0.0000, 0.0000), Rh at (0.0000, 0.0000, 0.5105), O at (0.0000, 0.1885, 0.7700) and O at (0.0000, 0.1905, 0.2383).

The value obtained for the density of states at the Fermi level is 0.414 states/eV per atom.

---

Entry 10:
Material: As2RhO8
Method: DFT, GGA-PBE
State: relaxed

It has space group C2/m (No. 12), with a = 8.5161 Å, b = 5.6911 Å, c = 5.7831 Å, α = 90.00°, β = 99.28° and γ = 90.00°. The asymmetric unit holds As at (0.1129, 0.0000, 0.2010), Rh at (0.0000, 0.5000, 0.5000), O at (0.1111, 0.0000, 0.8913), O at (0.1236, 0.2706, 0.3462) and O at (0.1652, 0.5000, 0.7655).

The value obtained for the density of states at the Fermi level is 0.466 states/eV per atom.

---

Entry 11:
Material: As3RhO
Method: DFT, GGA-PBE
State: relaxed

It has space group Pm-3m (No. 221), with a = 4.7662 Å, b = 4.7662 Å, c = 4.7662 Å, α = 90.00°, β = 90.00° and γ = 90.00°. The asymmetric unit holds As at (0.0000, 0.0000, 0.5000), Rh at (0.0000, 0.0000, 0.0000) and O at (0.5000, 0.5000, 0.5000).

The value obtained for the density of states at the Fermi level is 1.016 states/eV per atom. The polymorph energy (0 for the lowest one) is 670 meV per atom.

---

Entry 12:
Material: AsRhO4
Method: DFT, GGA-PBE
State: relaxed

It has space group Cmmm (No. 65), with a = 6.3170 Å, b = 6.4918 Å, c = 3.0540 Å, α = 90.00°, β = 90.00° and γ = 90.00°. The asymmetric unit holds As at (0.0000, 0.0000, 0.0000), Rh at (0.0000, 0.5000, 0.5000), O at (0.0000, 0.1846, 0.5000) and O at (0.2079, 0.5000, 0.0000).

The value obtained for the density of states at the Fermi level is 0.250 states/eV per atom.

---

Energy relative to the elements, uncorrected across the listed records, respectively: -1.8 4.6 -1.7 -15.8 -16.4 -13.8 -4.2 -4.3 -21.2 -14.8 20.1 -20.5 kcal/mol of atoms.
E across the listed records, respectively: -27.27 -25.26 -98.40 -71.91 -72.20 -59.75 -89.33 -100.21 -149.42 -126.78 -21.91 -74.33 eV per cell.